1.
Nd2ScSi2 at its PBEsol-relaxed geometry. Source: the Alexandria database, functional SCAN.

## Properties
- Formation energy without anion corrections: -3.791 eV/f.u.
- Symmetry: P4/mbm, No. 127
- V: 116.2 Å³/f.u.

Cell: 7.303 7.303 4.357 Å, 90.00 90.00 90.00°
Fractional positions:
1 Nd 0.177 0.323 0.000
2 Nd 0.323 0.823 0.000
3 Nd 0.677 0.177 0.000
4 Nd 0.823 0.677 0.000
5 Sc 0.000 0.000 0.500
6 Sc 0.500 0.500 0.500
7 Si 0.118 0.618 0.500
8 Si 0.382 0.118 0.500
9 Si 0.618 0.882 0.500
10 Si 0.882 0.382 0.500

***

2.
NdSc4Si4 at its PBEsol-relaxed geometry. Source: the Alexandria database, functional SCAN.

## Properties
- Formation energy without anion corrections: -7.350 eV/f.u.
- Symmetry: P2_12_12_1, No. 19
- V: 176.5 Å³/f.u.

Cell: 7.040 7.276 13.781 Å, 90.00 90.00 90.00°
Fractional positions:
1 Nd 0.235 0.175 0.158
2 Nd 0.265 0.825 0.658
3 Nd 0.735 0.325 0.842
4 Nd 0.765 0.675 0.342
5 Sc 0.072 0.673 0.877
6 Sc 0.077 0.678 0.127
7 Sc 0.094 0.504 0.501
8 Sc 0.226 0.182 0.853
9 Sc 0.274 0.818 0.353
10 Sc 0.406 0.496 0.001
11 Sc 0.423 0.322 0.627
12 Sc 0.428 0.327 0.377
13 Sc 0.572 0.827 0.123
14 Sc 0.577 0.822 0.873
15 Sc 0.594 0.996 0.499
16 Sc 0.726 0.318 0.147
17 Sc 0.774 0.682 0.647
18 Sc 0.906 0.004 0.999
19 Sc 0.923 0.178 0.373
20 Sc 0.928 0.173 0.623
21 Si 0.028 0.372 0.002
22 Si 0.089 0.460 0.712
23 Si 0.109 0.476 0.294
24 Si 0.223 0.114 0.498
25 Si 0.277 0.886 0.998
26 Si 0.391 0.524 0.794
27 Si 0.411 0.540 0.212
28 Si 0.472 0.628 0.502
29 Si 0.528 0.128 0.998
30 Si 0.589 0.040 0.288
31 Si 0.609 0.024 0.706
32 Si 0.723 0.386 0.502
33 Si 0.777 0.614 0.002
34 Si 0.891 0.976 0.206
35 Si 0.911 0.960 0.788
36 Si 0.972 0.872 0.498

***

3.
Nd10Se19 at its PBEsol-relaxed geometry. Source: the Alexandria database, functional SCAN.

## Properties
- Formation energy without anion corrections: -55.766 eV/f.u.
- Symmetry: P4_2/n, No. 86
- V: 708.2 Å³/f.u.

Cell: 9.182 9.182 16.800 Å, 90.00 90.00 90.00°
Fractional positions:
1 Nd 0.044 0.153 0.119
2 Nd 0.053 0.148 0.607
3 Nd 0.148 0.447 0.893
4 Nd 0.153 0.456 0.381
5 Nd 0.250 0.750 0.117
6 Nd 0.250 0.750 0.617
7 Nd 0.347 0.044 0.381
8 Nd 0.352 0.053 0.893
9 Nd 0.447 0.352 0.607
10 Nd 0.456 0.347 0.119
11 Nd 0.544 0.653 0.881
12 Nd 0.553 0.648 0.393
13 Nd 0.648 0.947 0.107
14 Nd 0.653 0.956 0.619
15 Nd 0.750 0.250 0.383
16 Nd 0.750 0.250 0.883
17 Nd 0.847 0.544 0.619
18 Nd 0.852 0.553 0.107
19 Nd 0.947 0.852 0.393
20 Nd 0.956 0.847 0.881
21 Se 0.030 0.671 0.250
22 Se 0.049 0.153 0.429
23 Se 0.052 0.149 0.936
24 Se 0.064 0.621 0.751
25 Se 0.121 0.936 0.251
26 Se 0.149 0.448 0.564
27 Se 0.153 0.451 0.071
28 Se 0.171 0.970 0.750
29 Se 0.250 0.250 0.250
30 Se 0.250 0.750 0.436
31 Se 0.250 0.750 0.936
32 Se 0.329 0.530 0.750
33 Se 0.347 0.049 0.071
34 Se 0.351 0.052 0.564
35 Se 0.379 0.564 0.251
36 Se 0.436 0.879 0.751
37 Se 0.448 0.351 0.936
38 Se 0.451 0.347 0.429
39 Se 0.470 0.829 0.250
40 Se 0.530 0.171 0.750
41 Se 0.549 0.653 0.571
42 Se 0.552 0.649 0.064
43 Se 0.564 0.121 0.249
44 Se 0.621 0.436 0.749
45 Se 0.649 0.948 0.436
46 Se 0.653 0.951 0.929
47 Se 0.671 0.470 0.250
48 Se 0.750 0.250 0.064
49 Se 0.750 0.250 0.564
50 Se 0.750 0.750 0.750
51 Se 0.829 0.030 0.250
52 Se 0.847 0.549 0.929
53 Se 0.851 0.552 0.436
54 Se 0.879 0.064 0.749
55 Se 0.936 0.379 0.249
56 Se 0.948 0.851 0.064
57 Se 0.951 0.847 0.571
58 Se 0.970 0.329 0.750